Below is a geometry-optimized PuBe2VO8 structure, with properties calculated at the PBE with a Hubbard U level.

Output
total magnetic moment	1.00	μB per formula unit
raw total energy	-7.375	eV/atom
density of states at the Fermi level	4.346	states/eV/cell

The structure in CIF format:
```
data_PuBe2VO8
_chemical_formula_sum 'Pu1 Be2 V1 O8'
_cell_length_a 5.2800
_cell_length_b 5.2800
_cell_length_c 5.9220
_cell_angle_alpha 90.00
_cell_angle_beta 90.00
_cell_angle_gamma 120.00
_space_group_name_H-M_alt 'P -3 m 1'
_space_group_IT_number 164
_space_group_name_Hall '-P 3 2"'
loop_
_atom_site_label
_atom_site_fract_x
_atom_site_fract_y
_atom_site_fract_z
Pu1 0.0000 0.0000 0.0000
Be1 0.3333 0.6667 0.3104
V1 0.0000 0.0000 0.5000
O1 0.1608 0.3216 0.2350
O2 0.3333 0.6667 0.5773
```